Arrangement i

Density functional theory data (GGA-PBEsol) for a relaxed structure of LiHg2Pt.

The structure in POSCAR format:
```
LiHg2Pt
1.0
0.000 3.254 3.254
3.254 0.000 3.254
3.254 3.254 0.000
Li Hg Pt
1 2 1
Direct
0.000 0.000 0.000
0.250 0.250 0.250
0.750 0.750 0.750
0.500 0.500 0.500
```

Calculated values
**Volume**: 68.9 Å³/cell
**Symmetry**: Fm-3m



Arrangement ii

Density functional theory data (GGA-PBEsol) for a relaxed structure of LiHg2Pt.

The structure in POSCAR format:
```
LiHg2Pt
1.0
2.951 0.000 0.000
0.000 4.139 0.000
0.000 0.000 5.716
Li Hg Pt
1 2 1
Direct
0.000 0.000 0.000
0.000 0.000 0.457
0.500 0.500 0.752
0.500 0.500 0.229
```

Calculated values
**Volume**: 69.8 Å³/cell
**Symmetry**: Pmm2



Arrangement iii

Density functional theory data (GGA-PBEsol) for a relaxed structure of LiHg2Pt.

The structure in POSCAR format:
```
LiHg2Pt
1.0
4.244 0.000 0.000
0.000 4.244 0.000
0.000 0.000 3.778
Li Hg Pt
1 2 1
Direct
0.000 0.000 0.000
0.000 0.500 0.500
0.500 0.000 0.500
0.500 0.500 0.000
```

Calculated values
**Volume**: 68.1 Å³/cell
**Symmetry**: P4/mmm



The least stable of them is arrangement ii.



Arrangement i

Density functional theory data (GGA-PBEsol) for a relaxed structure of LiScHg2.

The structure in POSCAR format:
```
LiScHg2
1.0
0.000 3.365 3.365
3.365 0.000 3.365
3.365 3.365 0.000
Li Sc Hg
1 1 2
Direct
0.000 0.000 0.000
0.500 0.500 0.500
0.250 0.250 0.250
0.750 0.750 0.750
```

Calculated values
**Volume**: 76.2 Å³/cell
**Symmetry**: Fm-3m



Arrangement ii

Density functional theory data (GGA-PBEsol) for a relaxed structure of LiScHg2.

The structure in POSCAR format:
```
LiScHg2
1.0
5.006 -1.636 0.000
5.006 1.636 0.000
-0.811 0.000 4.898
Li Sc Hg
1 1 2
Direct
0.000 0.000 0.000
0.767 0.767 0.350
0.257 0.257 0.853
0.507 0.507 0.516
```

Calculated values
**Volume**: 80.2 Å³/cell
**Symmetry**: Cm



Arrangement iii

Density functional theory data (GGA-PBEsol) for a relaxed structure of LiScHg2.

The structure in POSCAR format:
```
LiScHg2
1.0
3.294 0.000 0.000
0.000 3.294 0.000
0.000 0.000 6.993
Li Sc Hg
1 1 2
Direct
0.000 0.000 0.000
0.000 0.000 0.500
0.500 0.500 0.230
0.500 0.500 0.770
```

Calculated values
**Volume**: 75.9 Å³/cell
**Symmetry**: P4/mmm



The least stable of them is arrangement ii.



Arrangement i

Density functional theory data (GGA-PBEsol) for a relaxed structure of LiScHg2.

The structure in POSCAR format:
```
LiScHg2
1.0
0.000 3.335 3.335
3.335 0.000 3.335
3.335 3.335 0.000
Li Sc Hg
1 1 2
Direct
0.000 0.000 0.000
0.750 0.750 0.750
0.250 0.250 0.250
0.500 0.500 0.500
```

Calculated values
**Volume**: 74.2 Å³/cell
**Symmetry**: F-43m



Arrangement ii

Density functional theory data (GGA-PBEsol) for a relaxed structure of LiScHg2.

The structure in POSCAR format:
```
LiScHg2
1.0
4.886 0.000 0.000
0.000 4.886 0.000
0.000 0.000 3.286
Li Sc Hg
1 1 2
Direct
0.000 0.000 0.000
0.500 0.500 0.000
0.000 0.500 0.500
0.500 0.000 0.500
```

Calculated values
**Volume**: 78.4 Å³/cell
**Symmetry**: P4/mmm



Arrangement iii

Density functional theory data (GGA-PBEsol) for a relaxed structure of LiScHg2.

The structure in POSCAR format:
```
LiScHg2
1.0
1.686 0.973 8.520
-1.686 0.973 8.520
0.000 -1.946 8.520
Li Sc Hg
1 1 2
Direct
0.000 0.000 0.000
0.500 0.500 0.500
0.253 0.253 0.253
0.747 0.747 0.747
```

Calculated values
**Volume**: 83.9 Å³/cell
**Symmetry**: R-3m



The least stable of them is arrangement iii.



Arrangement i

Density functional theory data (GGA-PBEsol) for a relaxed structure of Li2ScHg2.

The structure in POSCAR format:
```
Li2ScHg2
1.0
-1.864 1.864 6.877
1.864 -1.864 6.877
1.864 1.864 -6.877
Li Sc Hg
2 1 2
Direct
0.250 0.750 0.500
0.750 0.250 0.500
0.000 0.000 0.000
0.394 0.394 0.000
0.606 0.606 0.000
```

Calculated values
**Volume**: 95.5 Å³/cell
**Symmetry**: I4/mmm



Arrangement ii

Density functional theory data (GGA-PBEsol) for a relaxed structure of Li2ScHg2.

The structure in POSCAR format:
```
Li2ScHg2
1.0
7.507 0.000 0.000
0.000 7.507 0.000
0.000 0.000 3.156
Li Sc Hg
4 2 4
Direct
0.116 0.384 0.000
0.384 0.884 0.000
0.616 0.116 0.000
0.884 0.616 0.000
0.000 0.000 0.000
0.500 0.500 0.000
0.185 0.685 0.500
0.315 0.185 0.500
0.685 0.815 0.500
0.815 0.315 0.500
```

Calculated values
**Volume**: 177.8 Å³/cell
**Symmetry**: P4/mbm



The least stable of them is arrangement i.



Arrangement i

Density functional theory data (GGA-PBEsol) for a relaxed structure of Sr2LiHg2.

The structure in POSCAR format:
```
Sr2LiHg2
1.0
8.252 0.000 0.000
0.000 8.252 0.000
0.000 0.000 4.544
Sr Li Hg
4 2 4
Direct
0.167 0.333 0.000
0.333 0.833 0.000
0.667 0.167 0.000
0.833 0.667 0.000
0.000 0.000 0.500
0.500 0.500 0.500
0.134 0.634 0.500
0.366 0.134 0.500
0.634 0.866 0.500
0.866 0.366 0.500
```

Calculated values
**Volume**: 309.4 Å³/cell
**Symmetry**: P4/mbm



Arrangement ii

Density functional theory data (GGA-PBEsol) for a relaxed structure of Sr2LiHg2.

The structure in POSCAR format:
```
Sr2LiHg2
1.0
-2.170 2.170 9.158
2.170 -2.170 9.158
2.170 2.170 -9.158
Sr Li Hg
2 1 2
Direct
0.113 0.113 0.000
0.887 0.887 0.000
0.500 0.500 0.000
0.250 0.750 0.500
0.750 0.250 0.500
```

Calculated values
**Volume**: 172.6 Å³/cell
**Symmetry**: I4/mmm



The least stable of them is arrangement ii.



Arrangement i

Density functional theory data (GGA-PBEsol) for a relaxed structure of LiTaHg2.

The structure in POSCAR format:
```
LiTaHg2
1.0
1.491 0.861 9.597
-1.491 0.861 9.597
0.000 -1.722 9.597
Li Ta Hg
1 1 2
Direct
0.000 0.000 0.000
0.500 0.500 0.500
0.253 0.253 0.253
0.747 0.747 0.747
```

Calculated values
**Volume**: 73.9 Å³/cell
**Symmetry**: R-3m



Arrangement ii

Density functional theory data (GGA-PBEsol) for a relaxed structure of LiTaHg2.

The structure in POSCAR format:
```
LiTaHg2
1.0
2.932 0.000 0.000
0.000 4.521 0.000
0.000 0.000 5.738
Li Ta Hg
1 1 2
Direct
0.000 0.000 0.000
0.500 0.500 0.320
0.000 0.000 0.488
0.500 0.500 0.828
```

Calculated values
**Volume**: 76.0 Å³/cell
**Symmetry**: Pmm2



The least stable of them is arrangement ii.



Arrangement i

Density functional theory data (GGA-PBEsol) for a relaxed structure of Li2YHg2.

The structure in POSCAR format:
```
Li2YHg2
1.0
7.791 0.000 0.000
0.000 7.791 0.000
0.000 0.000 3.209
Li Y Hg
4 2 4
Direct
0.114 0.386 0.000
0.386 0.886 0.000
0.614 0.114 0.000
0.886 0.614 0.000
0.000 0.000 0.000
0.500 0.500 0.000
0.185 0.685 0.500
0.315 0.185 0.500
0.685 0.815 0.500
0.815 0.315 0.500
```

Calculated values
**Volume**: 194.8 Å³/cell
**Symmetry**: P4/mbm



Arrangement ii

Density functional theory data (GGA-PBEsol) for a relaxed structure of Li2YHg2.

The structure in POSCAR format:
```
Li2YHg2
1.0
-1.958 1.958 6.822
1.958 -1.958 6.822
1.958 1.958 -6.822
Li Y Hg
2 1 2
Direct
0.250 0.750 0.500
0.750 0.250 0.500
0.000 0.000 0.000
0.390 0.390 0.000
0.610 0.610 0.000
```

Calculated values
**Volume**: 104.6 Å³/cell
**Symmetry**: I4/mmm



The least stable of them is arrangement i.



Arrangement i

Density functional theory data (GGA-PBEsol) for a relaxed structure of Li2YHg.

The structure in POSCAR format:
```
Li2YHg
1.0
-2.166 2.453 3.882
2.166 -2.453 3.882
2.166 2.453 -3.882
Li Y Hg
2 1 1
Direct
0.000 0.000 0.000
0.774 0.274 0.500
0.505 0.505 0.000
0.238 0.738 0.500
```

Calculated values
**Volume**: 82.5 Å³/cell
**Symmetry**: Imm2



Arrangement ii

Density functional theory data (GGA-PBEsol) for a relaxed structure of Li2YHg.

The structure in POSCAR format:
```
Li2YHg
1.0
2.993 -5.353 0.000
2.993 5.353 0.000
-1.794 0.000 2.883
Li Y Hg
2 1 1
Direct
0.000 0.500 0.000
0.500 0.000 0.000
0.000 0.000 0.500
0.500 0.500 0.500
```

Calculated values
**Volume**: 92.4 Å³/cell
**Symmetry**: C2/m



The least stable of them is arrangement ii.